1.
A relaxed CsTl2Pt crystal. Source: Alexandria via LeMat-Bulk, functional GGA-PBE.

Output
Space-group type ... R3m
Magnetic moment ... 0.00 μB/f.u.

Lattice parameters (Å, degrees): 4.494 4.494 8.454 74.58 74.58 60.00
Element x y z (fractional)
Tl (0.283, 0.283, 0.150)
Tl (0.050, 0.050, 0.849)
Cs (0.500, 0.500, 0.501)
Pt (0.667, 0.667, 0.000)

=====

2.
A relaxed Tb8Mg2Cd crystal. Source: Alexandria via LeMat-Bulk, functional GGA-PBE.

Output
Space-group type ... C2/m
Magnetic moment ... 0.00 μB/f.u.

Lattice parameters (Å, degrees): 5.341 7.241 9.282 106.10 106.72 90.00
Element x y z (fractional)
Tb (0.405, 0.544, 0.810)
Tb (0.186, 0.260, 0.371)
Tb (0.976, 0.239, 0.952)
Tb (0.334, 0.052, 0.668)
Tb (0.666, 0.948, 0.332)
Mg (0.808, 0.307, 0.616)
Tb (0.024, 0.761, 0.048)
Tb (0.595, 0.456, 0.190)
Mg (0.192, 0.693, 0.384)
Tb (0.814, 0.740, 0.629)
Cd (0.500, 0.000, 0.000)

=====

So what do the calculations give for E? Going down the list: -12.1 -41.1 eV/f.u..
So what do the calculations give for density? Going down the list: 8.69 7.23 g/cm³.